## A
First-principles (PBE) data for KScPtSe3 after structural relaxation, as listed in OQMD.

Lattice parameters (Å, degrees): 3.9148 15.7313 9.9326 90.00 90.00 90.00
Space group Cmcm (No. 63)
Asymmetric unit:
K: 0.0000 0.2386 0.2500
Sc: 0.0000 0.0000 0.0000
Pt: 0.0000 0.4841 0.7500
Se: 0.0000 0.0845 0.7500
Se: 0.0000 0.3821 0.5585

Summary:
**Total moment**: 0.0 μB per cell



## B
First-principles (PBE) data for KScPtSe3 after structural relaxation, as listed in OQMD.

Lattice parameters (Å, degrees): 15.2933 3.8946 10.7169 90.00 90.00 90.00
Space group Pnma (No. 62)
Asymmetric unit:
K: 0.2299 0.2500 0.0609
Sc: 0.0048 0.2500 0.3464
Pt: 0.0147 0.2500 0.9151
Se: 0.0998 0.2500 0.5567
Se: 0.1053 0.7500 0.8561
Se: 0.1075 0.7500 0.2464

Summary:
**Total moment**: 0.0 μB per cell



## C
First-principles (PBE) data for KScPtSe3 after structural relaxation, as listed in OQMD.

Lattice parameters (Å, degrees): 4.0390 15.4237 10.1331 90.00 90.00 90.00
Space group Cmcm (No. 63)
Asymmetric unit:
K: 0.0000 0.2455 0.2500
Sc: 0.0000 0.4828 0.7500
Pt: 0.0000 0.0000 0.0000
Se: 0.0000 0.0837 0.7500
Se: 0.0000 0.3893 0.5422

Summary:
**Total moment**: 0.1 μB per cell



Name the most stable of them. B.